Entry 1:
DFT (GGA-PBEsol) results for a geometry-optimized TaBi3S structure.

Properties
**Formation energy from raw total energies**: 0.625 eV per atom
**Total DFT energy (no corrections)**: -26.67 eV per cell

Lattice parameters (Å, degrees): 5.3496 5.3496 5.3496 90.00 90.00 90.00
Space group Pm-3m (No. 221)
Asymmetric unit:
Ta1 0.0000 0.0000 0.0000
Bi1 0.0000 0.0000 0.5000
S1 0.5000 0.5000 0.5000

---

Entry 2:
DFT (GGA-PBEsol) results for a geometry-optimized TcBiS2 structure.

Properties
**Formation energy from raw total energies**: -0.274 eV per atom
**Total DFT energy (no corrections)**: -76.25 eV per cell

Lattice parameters (Å, degrees): 3.3902 3.3902 25.1973 90.00 90.00 120.00
Space group R-3m (No. 166, hexagonal axes)
Asymmetric unit:
Tc1 0.0000 0.0000 0.0000
Bi1 0.0000 0.0000 0.5000
S1 0.0000 0.0000 0.3876

---

Entry 3:
DFT (GGA-PBEsol) results for a geometry-optimized Tc3BiS structure.

Properties
**Formation energy from raw total energies**: 2.762 eV per atom
**Total DFT energy (no corrections)**: -28.66 eV per cell

Lattice parameters (Å, degrees): 5.0530 5.0530 5.0530 90.00 90.00 90.00
Space group Pm-3m (No. 221)
Asymmetric unit:
Tc1 0.0000 0.0000 0.5000
Bi1 0.0000 0.0000 0.0000
S1 0.5000 0.5000 0.5000

---

Entry 4:
DFT (GGA-PBEsol) results for a geometry-optimized Bi2TeS structure.

Properties
**Formation energy from raw total energies**: -0.044 eV per atom
**Total DFT energy (no corrections)**: -66.64 eV per cell

Lattice parameters (Å, degrees): 7.9762 7.9762 7.2080 90.00 90.00 90.00
Space group I-42d (No. 122)
Asymmetric unit:
Bi1 0.2228 0.2500 0.1250
Te1 0.0000 0.0000 0.5000
S1 0.0000 0.0000 0.0000

---

Entry 5:
DFT (GGA-PBEsol) results for a geometry-optimized Bi4Te3S3 structure.

Properties
**Formation energy from raw total energies**: -0.304 eV per atom
**Total DFT energy (no corrections)**: -131.74 eV per cell

Lattice parameters (Å, degrees): 4.1755 4.1755 58.0106 90.00 90.00 120.00
Space group R3m (No. 160, hexagonal axes)
Asymmetric unit:
Bi1 0.0000 0.0000 0.0000
Bi2 0.0000 0.0000 0.1007
Bi3 0.0000 0.0000 0.4942
Bi4 0.0000 0.0000 0.6067
Te1 0.0000 0.0000 0.1923
Te2 0.0000 0.0000 0.6978
Te3 0.0000 0.0000 0.9085
S1 0.0000 0.0000 0.3028
S2 0.0000 0.0000 0.4106
S3 0.0000 0.0000 0.7973

---

Entry 6:
DFT (GGA-PBEsol) results for a geometry-optimized Bi2Te2S structure.

Properties
**Formation energy from raw total energies**: -0.243 eV per atom
**Total DFT energy (no corrections)**: -63.67 eV per cell
**ΔE to the lowest computed polymorph**: 4.6 kJ per mole of atoms

Lattice parameters (Å, degrees): 4.2553 4.2553 29.1917 90.00 90.00 120.00
Space group R3m (No. 160, hexagonal axes)
Asymmetric unit:
Bi1 0.0000 0.0000 0.0000
Bi2 0.0000 0.0000 0.1904
Te1 0.0000 0.0000 0.3940
Te2 0.0000 0.0000 0.5932
S1 0.0000 0.0000 0.8117

---

Entry 7:
DFT (GGA-PBEsol) results for a geometry-optimized Bi2Te2S structure.

Properties
**Formation energy from raw total energies**: -0.291 eV per atom
**Total DFT energy (no corrections)**: -64.38 eV per cell
**ΔE to the lowest computed polymorph**: 0.0 kJ per mole of atoms

Lattice parameters (Å, degrees): 4.2374 4.2374 29.5073 90.00 90.00 120.00
Space group R-3m (No. 166, hexagonal axes)
Asymmetric unit:
Bi1 0.0000 0.0000 0.1090
Te1 0.0000 0.0000 0.2851
S1 0.0000 0.0000 0.5000

---

Entry 8:
DFT (GGA-PBEsol) results for a geometry-optimized Bi2Te2S structure.

Properties
**Formation energy from raw total energies**: -0.042 eV per atom
**Total DFT energy (no corrections)**: -40.43 eV per cell
**ΔE to the lowest computed polymorph**: 24.0 kJ per mole of atoms

Lattice parameters (Å, degrees): 18.5926 4.3717 4.3695 90.00 103.45 90.00
Space group C2/m (No. 12)
Asymmetric unit:
Bi1 0.1392 0.0000 0.1368
Te1 0.1754 0.5000 0.6742
S1 0.0000 0.0000 0.0000